The following is a PBE calculation of crystalline Na2CrIr2S6 at its relaxed geometry, from Alexandria.

The uncorrected formation energy is -652 meV/atom.

a b c (Å): 6.2120 6.2120 6.8511
angles (deg): 98.72 98.72 120.52
Fractional coordinates of all 11 atoms:
Na 0.1659 0.8341 0.0000
Na 0.8341 0.1659 0.0000
Cr 0.0000 0.0000 0.5000
Ir 0.3341 0.6659 0.5000
Ir 0.6659 0.3341 0.5000
S 0.0614 0.4004 0.6887
S 0.2735 0.2735 0.3097
S 0.4004 0.0614 0.6887
S 0.5996 0.9386 0.3113
S 0.7265 0.7265 0.6903
S 0.9386 0.5996 0.3113